# 1
Below is crystalline TaReBr2 at its relaxed geometry, with properties calculated at the PBE level.

Structure (extended XYZ):
```
4
Lattice="1.6939 0.9780 9.2592 -1.6939 0.9780 9.2592 0.0000 -1.9560 9.2592" Properties=species:S:1:pos:R:3 pbc="T T T"
Ta 0.0000 0.0000 0.0000
Re 0.0000 0.0000 20.1948
Br 0.0000 0.0000 7.2371
Br 0.0000 0.0000 13.0083
```

As for the space group: R3m (160). The total DFT energy (no corrections) comes out at -27.62 eV/cell. The uncorrected formation energy is 0.03 eV/f.u. The calculation puts the density of states at the Fermi level at 4.87 states/eV/f.u. Its offset from the most stable computed form is 0.0639 eV per atom.


# 2
Below is crystalline TaRe2Br at its relaxed geometry, with properties calculated at the PBE level.

Structure (extended XYZ):
```
4
Lattice="3.1580 0.0000 0.0000 0.0000 3.1580 0.0000 0.0000 0.0000 6.7868" Properties=species:S:1:pos:R:3 pbc="T T T"
Ta 0.0000 0.0000 0.0000
Re 1.5790 1.5790 1.5725
Re 1.5790 1.5790 5.2143
Br 0.0000 0.0000 3.3934
```

As for the space group: P4/mmm (123). The total DFT energy (no corrections) comes out at -35.80 eV/cell. The uncorrected formation energy is 2.62 eV/f.u. The calculation puts the density of states at the Fermi level at 2.75 states/eV/f.u. Its offset from the most stable computed form is 0.0674 eV per atom.


> Which formula does entry 2 have?

TaRe2Br